(1)
Nb2BTe | PBE-GGA | relaxed

abc: 6.4055 6.4055 6.4055
angles: 90.00 90.00 90.00
Space group Fm-3m (No. 225)
Unique sites:
Nb: 0.2500 0.2500 0.2500
B: 0.0000 0.0000 0.0000
Te: 0.0000 0.0000 0.5000

E_form (uncorrected), meV per atom: 409.8
Excess energy over the best structure of this formula in the dataset, meV per atom: 19

=====

(2)
Pm2Sm12Er | PBE-GGA | relaxed

abc: 7.1668 11.5406 24.9276
angles: 90.00 90.00 90.00
Space group Cmme (No. 67)
Unique sites:
Pm: 0.0000 0.2500 0.2282
Pm: 0.0000 0.2500 0.7653
Sm: 0.0000 0.0010 0.5752
Sm: 0.0000 0.0233 0.0600
Sm: 0.2312 0.2500 0.9165
Sm: 0.2486 0.2500 0.3735
Sm: 0.2500 0.0000 0.1738
Sm: 0.2500 0.0000 0.3015
Er: 0.0000 0.2500 0.4997

Energy of formation from the pure elements, eV/atom: 0.157

=====

(3)
CeDy5Tm6 | PBE-GGA | relaxed

abc: 4.9786 9.8987 14.9402
angles: 90.00 90.00 90.00
Space group Immm (No. 71)
Unique sites:
Ce: 0.0000 0.0000 0.0000
Dy: 0.0000 0.0000 0.3331
Dy: 0.0000 0.5000 0.0000
Dy: 0.0000 0.5000 0.3331
Tm: 0.0000 0.2494 0.1656
Tm: 0.0000 0.2518 0.5000

Energy of formation from the pure elements, eV/atom: 0.038